A relaxed Pr6Nd2Sm3Tl crystal, computed with PBE.

The structure belongs to space group C2/m (No. 12); the cell edges are 6.300, 10.949 and 12.074 Å and the angles 90.00°, 100.21° and 90.00°. The asymmetric unit holds Pr at (0.243, 0.000, 0.250), Pr at (0.245, 0.163, 0.748), Nd at (0.000, 0.334, 0.500), Sm at (0.000, 0.168, 0.000), Sm at (0.000, 0.500, 0.000) and Tl at (0.000, 0.000, 0.500).

---

A relaxed FeSn2As crystal, computed with PBE.

The structure belongs to space group I-42d (No. 122); the cell edges are 6.089, 6.089 and 11.598 Å and the angles 90.00°, 90.00° and 90.00°. The asymmetric unit holds Fe at (0.000, 0.000, 0.000), Sn at (0.228, 0.250, 0.125) and As at (0.000, 0.000, 0.500).

---

A relaxed NdCo2Ni5 crystal, computed with PBE.

The structure belongs to space group Immm (No. 71); the cell edges are 3.692, 6.726 and 8.938 Å and the angles 90.00°, 90.00° and 90.00°. The asymmetric unit holds Nd at (0.000, 0.000, 0.000), Co at (0.000, 0.500, 0.253), Ni at (0.000, 0.182, 0.352) and Ni at (0.000, 0.500, 0.000).

---

A relaxed NbCuPd6 crystal, computed with PBE.

The structure belongs to space group P-1 (No. 2); the cell edges are 5.027, 5.028 and 5.032 Å and the angles 93.73°, 93.55° and 93.37°. The asymmetric unit holds Nb at (0.000, 0.000, 0.000), Cu at (0.500, 0.500, 0.500), Pd at (0.035, 0.465, 0.748), Pd at (0.252, 0.964, 0.536) and Pd at (0.465, 0.748, 0.037).

As for the energy above the most stable polymorph in this dataset: 163 meV/atom.

---

Number 1: calculated formation energy -0.026 eV/atom, electronic total energy -4.587 eV per atom. Number 2: calculated formation energy 0.453 eV/atom, electronic total energy -4.827 eV per atom. Number 3: calculated formation energy 0.040 eV/atom, electronic total energy -5.946 eV per atom. Number 4: calculated formation energy -0.127 eV/atom, electronic total energy -5.792 eV per atom.